Below is an optimized crystal structure of Ho2Tc2BC2, with properties calculated at the PBE level.

Properties
- Total moment: 0.000 μB/atom
- DFT formation energy: -0.327 eV per atom
- Mass density: 8.94 g cm⁻³
- Space-group type: No. 12
- DFT total energy: -0.3008 Ha/atom
- D(E_F): 3.9 states/eV/f.u.

Cell lengths 3.353, 6.548, 6.136 Å; angles 54.04, 74.15, 75.17 degrees
Atoms (fractional coordinates):
Ho  0.613  0.180  0.595
Ho  0.387  0.820  0.405
Tc  0.164  0.676  0.996
Tc  0.836  0.324  0.004
B  0.000  0.000  0.000
C  0.246  0.269  0.239
C  0.754  0.731  0.761

---

Below is an optimized crystal structure of RbBaPdPt2, with properties calculated at the PBE level.

Properties
- Total moment: 0.000 μB/atom
- DFT formation energy: 1.177 eV per atom
- Mass density: 6.03 g cm⁻³
- Space-group type: No. 123
- DFT total energy: -0.1050 Ha/atom
- D(E_F): 6.3 states/eV/f.u.

Cell lengths 5.510, 6.526, 5.510 Å; angles 90.00, 90.00, 90.00 degrees
Atoms (fractional coordinates):
Rb  0.000  0.500  0.000
Pd  0.500  0.500  0.500
Ba  0.000  0.000  0.000
Pt  0.000  0.000  0.500
Pt  0.500  0.000  0.000

---

Below is an optimized crystal structure of Tb5Ho8Tm, with properties calculated at the PBE level.

Properties
- Total moment: 0.000 μB/atom
- DFT formation energy: 0.256 eV per atom
- Mass density: 8.41 g cm⁻³
- Space-group type: No. 82
- DFT total energy: -0.1592 Ha/atom
- D(E_F): 20.0 states/eV/f.u.

Cell lengths 8.371, 8.371, 8.371 Å; angles 110.83, 106.79, 110.83 degrees
Atoms (fractional coordinates):
Tb  0.033  0.322  0.135
Tb  0.865  0.898  0.187
Tb  0.813  0.678  0.711
Tb  0.500  0.000  0.500
Tb  0.289  0.102  0.967
Ho  0.164  0.737  0.077
Ho  0.923  0.087  0.660
Ho  0.731  0.254  0.336
Ho  0.664  0.395  0.918
Ho  0.523  0.605  0.269
Ho  0.573  0.913  0.836
Ho  0.340  0.263  0.427
Ho  0.082  0.746  0.477
Tm  0.250  0.500  0.750

---

Below is an optimized crystal structure of TcSbAu, with properties calculated at the PBE level.

Properties
- Energy relative to the elements, uncorrected: 1.28 eV/f.u.
- Total moment: 0.000 μB/atom
- Energy above the lowest structure with this stoichiometry: 218 meV/atom
- Mass density: 11.04 g cm⁻³
- Space-group type: No. 107
- DFT total energy: -0.2019 Ha/atom
- D(E_F): 2.5 states/eV/f.u.

Cell lengths 7.155, 7.155, 3.030 Å; angles 77.78, 77.77, 24.45 degrees
Atoms (fractional coordinates):
Au  0.032  0.032  0.968
Sb  0.299  0.299  0.701
Tc  0.669  0.669  0.331

---

Below is an optimized crystal structure of La2Cu4Ge3Sb, with properties calculated at the PBE level.

Properties
- Energy relative to the elements, uncorrected: -5.24 eV/f.u.
- Total moment: 0.000 μB/atom
- Mass density: 7.47 g cm⁻³
- Space-group type: No. 115
- DFT total energy: -0.1817 Ha/atom
- D(E_F): 3.4 states/eV/f.u.

Cell lengths 4.348, 4.348, 10.252 Å; angles 90.00, 90.00, 90.00 degrees
Atoms (fractional coordinates):
La  0.500  0.000  0.232
La  0.000  0.500  0.768
Cu  0.500  0.500  0.000
Cu  0.000  0.000  0.000
Cu  0.500  0.000  0.642
Cu  0.000  0.500  0.358
Ge  0.000  0.000  0.500
Ge  0.500  0.000  0.877
Ge  0.000  0.500  0.123
Sb  0.500  0.500  0.500

---

Below is an optimized crystal structure of Ti4Ge3Mo, with properties calculated at the PBE level.

Properties
- Total moment: 0.000 μB/atom
- DFT formation energy: -0.617 eV per atom
- Mass density: 6.60 g cm⁻³
- Space-group type: No. 140
- DFT total energy: -0.2811 Ha/atom
- D(E_F): 4.7 states/eV/f.u.

Cell lengths 5.104, 7.505, 7.505 Å; angles 83.36, 70.12, 70.12 degrees
Atoms (fractional coordinates):
Ge  0.750  0.000  0.000
Ge  0.250  0.000  0.000
Ge  0.336  0.828  0.500
Ge  0.664  0.172  0.500
Ge  0.164  0.500  0.172
Ge  0.836  0.500  0.828
Mo  0.750  0.500  0.500
Mo  0.250  0.500  0.500
Ti  0.424  0.299  0.853
Ti  0.576  0.701  0.147
Ti  0.723  0.853  0.701
Ti  0.076  0.147  0.701
Ti  0.277  0.147  0.299
Ti  0.924  0.853  0.299
Ti  0.777  0.299  0.147
Ti  0.223  0.701  0.853

---

Below is an optimized crystal structure of KCd2Au, with properties calculated at the PBE level.

Properties
- Total moment: 0.000 μB/atom
- DFT formation energy: -0.109 eV per atom
- Mass density: 6.38 g cm⁻³
- Space-group type: No. 10
- DFT total energy: -0.0610 Ha/atom
- D(E_F): 1.2 states/eV/f.u.

Cell lengths 4.924, 4.423, 5.669 Å; angles 76.12, 90.00, 90.00 degrees
Atoms (fractional coordinates):
K  0.500  0.250  0.250
Au  0.500  0.750  0.750
Cd  0.000  0.885  0.967
Cd  0.000  0.615  0.533

---

Below is an optimized crystal structure of AlCd5Pd6, with properties calculated at the PBE level.

Properties
- Total moment: 0.000 μB/atom
- DFT formation energy: -0.472 eV per atom
- Mass density: 9.94 g cm⁻³
- Space-group type: No. 65
- DFT total energy: -0.1382 Ha/atom
- D(E_F): 5.3 states/eV/f.u.

Cell lengths 4.609, 6.402, 7.322 Å; angles 90.00, 71.65, 90.00 degrees
Atoms (fractional coordinates):
Al  0.000  0.000  0.000
Pd  0.846  0.761  0.309
Pd  0.846  0.239  0.309
Pd  0.500  0.229  0.000
Pd  0.500  0.771  0.000
Pd  0.154  0.761  0.691
Pd  0.154  0.239  0.691
Cd  0.670  0.500  0.660
Cd  0.327  0.000  0.347
Cd  0.000  0.500  0.000
Cd  0.673  0.000  0.653
Cd  0.330  0.500  0.340

---

Below is an optimized crystal structure of LaZrRe, with properties calculated at the PBE level.

Properties
- Total moment: 0.000 μB/atom
- Energy above the lowest structure with this stoichiometry: 0 meV/atom
- DFT formation energy: 0.101 eV per atom
- Mass density: 9.21 g cm⁻³
- Space-group type: No. 107
- DFT total energy: -0.3138 Ha/atom
- D(E_F): 1.9 states/eV/f.u.

Cell lengths 6.958, 6.958, 6.958 Å; angles 151.80, 151.80, 40.30 degrees
Atoms (fractional coordinates):
La  0.969  0.969  0.000
Re  0.319  0.319  0.000
Zr  0.712  0.712  0.000

---

Below is an optimized crystal structure of MnInRu2N, with properties calculated at the PBE level.

Properties
- Energy relative to the elements, uncorrected: -0.03 eV/f.u.
- Total moment: 0.583 μB/atom
- Mass density: 9.52 g cm⁻³
- Space-group type: No. 123
- DFT total energy: -0.2853 Ha/atom
- D(E_F): 4.1 states/eV/f.u.

Cell lengths 4.138, 4.138, 3.930 Å; angles 90.00, 90.00, 90.00 degrees
Atoms (fractional coordinates):
Ru  0.000  0.500  0.000
Ru  0.500  0.000  0.000
N  0.000  0.000  0.000
Mn  0.000  0.000  0.500
In  0.500  0.500  0.500

---

Below is an optimized crystal structure of CeH2F4, with properties calculated at the PBE level.

Properties
- Total moment: 0.004 μB/atom
- Mass density: 3.15 g cm⁻³
- Space-group type: No. 10
- DFT total energy: -0.2019 Ha/atom
- D(E_F): 0.0 states/eV/f.u.

Cell lengths 3.857, 3.858, 8.245 Å; angles 110.49, 90.00, 90.00 degrees
Atoms (fractional coordinates):
Ce  0.000  0.500  0.000
H  0.500  0.410  0.463
H  0.500  0.590  0.537
F  0.500  0.627  0.159
F  0.000  0.877  0.841
F  0.500  0.373  0.841
F  0.000  0.123  0.159

---

Below is an optimized crystal structure of NdDy7Er3, with properties calculated at the PBE level.

Properties
- Total moment: 0.000 μB/atom
- Energy above the lowest structure with this stoichiometry: 53 meV/atom
- DFT formation energy: 0.197 eV per atom
- Mass density: 8.05 g cm⁻³
- Space-group type: No. 156
- DFT total energy: -0.1621 Ha/atom
- D(E_F): 17.4 states/eV/f.u.

Cell lengths 8.565, 7.042, 7.042 Å; angles 120.00, 90.00, 90.00 degrees
Atoms (fractional coordinates):
Nd  0.446  0.333  0.667
Dy  0.115  0.168  0.832
Dy  0.115  0.168  0.336
Dy  0.120  0.667  0.333
Dy  0.450  0.832  0.168
Dy  0.450  0.336  0.168
Dy  0.450  0.832  0.664
Dy  0.115  0.664  0.832
Er  0.785  0.501  0.499
Er  0.785  0.501  0.001
Er  0.785  0.999  0.499

---

Below is an optimized crystal structure of Co2SnRu, with properties calculated at the PBE level.

Properties
- Total moment: 0.912 μB/atom
- DFT formation energy: 0.553 eV per atom
- Mass density: 8.97 g cm⁻³
- Space-group type: No. 122
- DFT total energy: -0.2322 Ha/atom
- D(E_F): 6.8 states/eV/f.u.

Cell lengths 3.752, 3.752, 9.264 Å; angles 78.32, 78.32, 90.00 degrees
Atoms (fractional coordinates):
Ru  0.500  0.500  0.000
Ru  0.250  0.750  0.500
Co  0.584  0.125  0.250
Co  0.166  0.625  0.250
Co  0.375  0.416  0.750
Co  0.875  0.834  0.750
Sn  0.000  0.000  0.000
Sn  0.750  0.250  0.500